YZrCo2 | PBE | optimized geometry

```
4
Lattice="3.619 0.000 0.000 0.000 3.619 0.000 0.000 0.000 5.616" Properties=species:S:1:pos:R:3 pbc="T T T"
Zr 1.810 1.810 4.691
Co 1.810 1.810 1.617
Co 0.000 0.000 5.304
Y 0.000 0.000 2.428
```

Calculated values
Energy in hartree per atom: -0.2657

***

Al2ReHg2 | PBE | optimized geometry

```
5
Lattice="3.674 0.000 0.000 0.000 3.674 0.000 1.837 1.837 7.546" Properties=species:S:1:pos:R:3 pbc="T T T"
Al 3.674 3.674 6.305
Al 1.837 1.837 1.242
Hg 3.674 1.837 3.773
Re 0.000 0.000 0.000
Hg 1.837 3.674 3.773
```

Calculated values
Energy in hartree per atom: -0.1218
Excess energy over the best structure of this formula in the dataset in meV per atom: 276

***

La6FeRu2Cl3 | PBE | optimized geometry

```
12
Lattice="-3.916 -4.489 3.879 -1.382 0.856 -6.921 6.587 -4.446 -0.654" Properties=species:S:1:pos:R:3 pbc="T T T"
La 1.585 -5.470 -4.620
La -2.609 -3.594 -2.391
La 0.760 -7.210 -1.106
La 3.898 -4.485 -1.305
La 0.529 -0.869 -2.590
Cl 0.645 -4.039 -1.848
Ru -2.225 -0.922 -3.327
Cl -0.200 -5.821 1.752
La -0.296 -2.608 0.924
Ru -3.073 -2.710 0.285
Cl 1.490 -2.257 -5.448
Fe 0.000 0.000 0.000
```

Calculated values
Energy in hartree per atom: -0.2232
Uncorrected formation energy in eV/f.u.: -10.772

***

SrSm8Dy6 | PBE | optimized geometry

```
15
Lattice="-7.240 -4.020 -0.248 0.705 -6.112 -5.549 0.918 -7.096 4.176" Properties=species:S:1:pos:R:3 pbc="T T T"
Dy -0.399 -7.746 0.115
Sm -3.667 -9.255 -4.823
Sm -6.191 -9.033 1.564
Dy -3.942 -6.645 0.691
Sm -1.951 -7.973 3.202
Sr 0.000 0.000 0.000
Sm -1.347 -4.131 -0.389
Sm -5.910 -6.182 -2.120
Sm 0.292 -11.047 0.499
Dy -2.558 -6.768 -2.797
Dy -5.219 -9.483 -1.736
Dy -3.059 -10.461 1.176
Sm 0.573 -8.195 -3.185
Dy -1.676 -10.584 -2.313
Sm -4.270 -13.097 -1.233
```

Calculated values
Energy in hartree per atom: -0.1566

***

BeSeBr2 | PBE | optimized geometry

```
4
Lattice="-5.904 -6.450 7.205 -2.227 -8.002 7.706 -3.319 -4.715 9.753" Properties=species:S:1:pos:R:3 pbc="T T T"
Se -5.725 -9.584 12.332
Br -0.669 -1.119 1.440
Br -10.782 -18.048 23.224
Be 0.000 0.000 0.000
```

Calculated values
Energy in hartree per atom: -0.0953
Excess energy over the best structure of this formula in the dataset in meV per atom: 488
Uncorrected formation energy in eV/f.u.: 0.184

***

TbPrAl | PBE | optimized geometry

```
6
Lattice="-3.699 -1.649 -2.585 3.012 -1.195 -3.547 0.925 -7.006 3.146" Properties=species:S:1:pos:R:3 pbc="T T T"
Pr -1.582 -2.848 -0.384
Al -0.344 -1.422 -3.066
Pr 2.164 -5.580 0.464
Tb 1.727 -2.276 -1.020
Al 0.000 0.000 0.000
Tb -1.146 -6.152 1.100
```

Calculated values
Energy in hartree per atom: -0.1644
Excess energy over the best structure of this formula in the dataset in meV per atom: 125

***

In order of appearance, density of states at the Fermi level = 2.4; 3.0; 9.7; 20.4; 1.4; 6.0 states/eV per cell.